A plane-wave DFT calculation with PBE+U was carried out for crystalline VPd2O6 at its relaxed geometry.

a b c (Å): 4.5785 4.5785 9.3107
angles (deg): 90.00 90.00 90.00
Site moments in Bohr magnetons follow the coordinates.
Fractional positions:
V1 0.5000 0.5000 0.0000  1.00
V2 0.0000 0.0000 0.5000  1.00
O1 0.6998 0.6998 0.5000  -0.02
O2 0.6901 0.6901 0.8391  -0.03
O3 0.1998 0.8002 0.0000  -0.02
Pd1 0.0000 0.0000 0.1675  0.04
O4 0.3099 0.3099 0.8391  -0.03
O5 0.1901 0.8099 0.3391  -0.03
Pd2 0.0000 0.0000 0.8325  0.04
O6 0.3099 0.3099 0.1609  -0.03
O7 0.3002 0.3002 0.5000  -0.02
Pd3 0.5000 0.5000 0.3325  0.04
Pd4 0.5000 0.5000 0.6675  0.04
O8 0.8099 0.1901 0.6609  -0.03
O9 0.8002 0.1998 0.0000  -0.02
O10 0.6901 0.6901 0.1609  -0.03
O11 0.1901 0.8099 0.6609  -0.03
O12 0.8099 0.1901 0.3391  -0.03

## Properties
Its space group is P4_2/mnm, No. 136. The value obtained for the total energy is -55.349 eV per formula unit.